# 1
# MgTeS2

A geometry-optimized MgTeS2 structure (GGA-PBE, Alexandria).

Values from the calculation:
Excess energy over the best structure of this formula in the dataset (eV/atom): 0.2128
Formation energy (no corrections) (meV/atom): -320

Unit cell a=6.187 b=6.187 c=6.187 alpha=111.07 beta=111.07 gamma=106.32
Fractional coordinates of all 8 atoms:
Mg 0.000 0.000 0.000
Mg 0.750 0.250 0.500
Te 0.250 0.750 0.500
Te 0.500 0.500 0.000
S 0.096 0.625 0.971
S 0.375 0.346 0.471
S 0.654 0.125 0.029
S 0.875 0.904 0.529

=====

# 2
# TiAlMo4

A geometry-optimized TiAlMo4 structure (GGA-PBE, Alexandria).

Values from the calculation:
Energy relative to the elements (eV/atom): -0.159

Unit cell a=3.183 b=5.171 c=6.334 alpha=73.13 beta=89.99 gamma=72.17
Fractional coordinates of all 6 atoms:
Ti 0.000 0.000 0.000
Al 0.000 0.000 0.500
Mo 0.320 0.360 0.666
Mo 0.333 0.336 0.165
Mo 0.667 0.664 0.835
Mo 0.680 0.640 0.334

=====

# 3
# PmHoSi2Pd5

A geometry-optimized PmHoSi2Pd5 structure (GGA-PBE, Alexandria).

Values from the calculation:
Formation energy (no corrections) (meV/atom): -904

Unit cell a=4.204 b=4.204 c=9.013 alpha=90.00 beta=90.00 gamma=90.00
Fractional coordinates of all 9 atoms:
Pm 0.000 0.000 0.000
Ho 0.000 0.000 0.500
Si 0.500 0.500 0.370
Si 0.500 0.500 0.630
Pd 0.000 0.500 0.236
Pd 0.000 0.500 0.764
Pd 0.500 0.000 0.236
Pd 0.500 0.000 0.764
Pd 0.500 0.500 0.000